# 1
VASP calculation (PBE) on crystalline Pr3SiTe at its relaxed geometry.

- Crystal system: monoclinic
- Formation energy (no corrections): -770.2 meV per atom
- Magnetic moment: 0.29 μB/f.u.

abc: 15.4703 12.4268 7.4451
angles: 90.00 101.93 90.00
With the nearest neighbours (Å) after each atom.
Space group C2/c (No. 15)
Symmetry-distinct sites (fractional):
Pr 0.0994 0.0668 0.4422 (multiplicity 8)  1 Si 2.90, 1 Te 3.22
Pr 0.1029 0.2436 0.9635 (multiplicity 8)  2 Si 2.90-2.91, 1 Te 3.23
Pr 0.1086 0.4195 0.4598 (multiplicity 8)  3 Si 2.93-3.00
Si 0.0000 0.2454 0.2500 (multiplicity 4)  6 Pr 2.90-2.98
Si 0.0000 0.4120 0.7500 (multiplicity 4)  6 Pr 2.90-3.00
Te 0.2481 0.0971 0.8114 (multiplicity 8)  6 Pr 3.22-3.36

---

# 2
VASP calculation (PBE) on crystalline Ag2SnCl2 at its relaxed geometry.

- Crystal system: tetragonal
- Relative energy among the computed polymorphs: 0.000 eV/atom
- Formation energy (no corrections): -114.5 meV per atom
- Magnetic moment: 0.00 μB/f.u.

abc: 4.5515 4.5515 11.3568
angles: 90.00 90.00 90.00
With the nearest neighbours (Å) after each atom.
Space group I4/mmm (No. 139)
Symmetry-distinct sites (fractional):
Ag 0.0000 0.0000 0.1163 (multiplicity 4)  1 Ag 2.64, 4 Cl 2.74
Sn 0.0000 0.0000 0.5000 (multiplicity 2)  8 Ag 3.48, 8 Cl 3.64
Cl 0.0000 0.5000 0.2500 (multiplicity 4)  4 Ag 2.74

---

# 3
VASP calculation (PBE) on crystalline ErMn6 at its relaxed geometry.

- Crystal system: cubic
- Relative energy among the computed polymorphs: 0.632 eV/atom
- Magnetic moment: 0.00 μB/f.u.
- Formation energy from the elements: 675 meV per atom

abc: 6.0684 6.0684 6.0684
angles: 90.00 90.00 90.00
With the nearest neighbours (Å) after each atom.
Space group Im-3m (No. 229)
Symmetry-distinct sites (fractional):
Er 0.0000 0.0000 0.0000 (multiplicity 2)  24 Mn 3.39
Mn 0.0000 0.2500 0.5000 (multiplicity 12)  4 Mn 2.15

---

# 4
VASP calculation (PBE) on crystalline Ag2Mo2Pd at its relaxed geometry.

- Crystal system: tetragonal
- Relative energy among the computed polymorphs: 0.000 eV/atom
- Magnetic moment: 0.00 μB/f.u.
- Formation energy from the elements: 658 meV per atom

abc: 3.5588 3.5588 14.3613
angles: 90.00 90.00 90.00
With the nearest neighbours (Å) after each atom.
Space group I4/mmm (No. 139)
Symmetry-distinct sites (fractional):
Ag 0.0000 0.0000 0.0948 (multiplicity 4)  1 Ag 2.72, 4 Mo 2.85, 4 Pd 2.86
Mo 0.0000 0.5000 0.2500 (multiplicity 4)  4 Mo 2.52
Pd 0.0000 0.0000 0.5000 (multiplicity 2)  8 Ag 2.86

---

# 5
VASP calculation (PBE) on crystalline Sm6Ir2PbSe3 at its relaxed geometry.

- Crystal system: monoclinic
- Formation energy (no corrections): -1183.8 meV per atom
- Magnetic moment: 0.00 μB/f.u.

abc: 19.1252 4.1297 8.7648
angles: 90.00 109.89 90.00
With the nearest neighbours (Å) after each atom.
Space group C2/m (No. 12)
Symmetry-distinct sites (fractional):
Sm 0.0008 0.0000 0.2687 (multiplicity 4)  3 Se 2.90-2.97, 1 Ir 2.94, 2 Pb 3.13
Sm 0.1755 0.5000 0.0967 (multiplicity 4)  2 Ir 2.87, 3 Se 2.91-3.11, 1 Pb 3.17
Sm 0.1806 0.5000 0.5539 (multiplicity 4)  3 Ir 2.87-2.90
Ir 0.1598 0.0000 0.3103 (multiplicity 4)  6 Sm 2.87-2.94
Pb 0.0000 0.5000 0.0000 (multiplicity 2)  6 Sm 3.13-3.17
Se 0.0000 0.5000 0.5000 (multiplicity 2)  4 Sm 2.90
Se 0.1639 0.0000 0.8237 (multiplicity 4)  6 Sm 2.91-3.24

---

# 6
VASP calculation (PBE) on crystalline ZnGeTe2N at its relaxed geometry.

- Crystal system: tetragonal
- Relative energy among the computed polymorphs: 0.000 eV/atom
- Formation energy (no corrections): 651.1 meV per atom
- Magnetic moment: 0.00 μB/f.u.

abc: 5.7309 5.7309 3.4992
angles: 90.00 90.00 90.00
With the nearest neighbours (Å) after each atom.
Space group P4/mmm (No. 123)
Symmetry-distinct sites (fractional):
Zn 0.0000 0.0000 0.0000 (multiplicity 1)  8 Te 3.36, 2 Zn 3.50
Ge 0.5000 0.5000 0.5000 (multiplicity 1)  2 N 1.75
Te 0.0000 0.5000 0.5000 (multiplicity 2)  2 Ge 2.87
N 0.5000 0.5000 0.0000 (multiplicity 1)  2 Ge 1.75

---

# 7
VASP calculation (PBE) on crystalline ErZnGe2 at its relaxed geometry.

- Crystal system: tetragonal
- Magnetic moment: 0.00 μB/f.u.
- Formation energy from the elements: -469 meV per atom

abc: 4.0555 4.0555 18.6376
angles: 90.00 90.00 90.00
With the nearest neighbours (Å) after each atom.
Space group I4/mmm (No. 139)
Symmetry-distinct sites (fractional):
Er 0.0000 0.0000 0.1154 (multiplicity 4)  8 Ge 2.96-2.97, 4 Zn 3.23
Zn 0.0000 0.5000 0.2500 (multiplicity 4)  4 Ge 2.68, 4 Zn 2.87
Ge 0.0000 0.0000 0.3439 (multiplicity 4)  4 Zn 2.68, 4 Er 2.97
Ge 0.0000 0.5000 0.0000 (multiplicity 4)  4 Ge 2.87, 4 Er 2.96

---

# 8
VASP calculation (PBE) on crystalline Ag2PRh at its relaxed geometry.

- Crystal system: monoclinic
- Magnetic moment: 0.00 μB/f.u.
- Formation energy from the elements: 235 meV per atom

abc: 5.2358 9.9316 2.9517
angles: 90.00 122.68 90.00
With the nearest neighbours (Å) after each atom.
Space group C2/m (No. 12)
Symmetry-distinct sites (fractional):
Ag 0.2500 0.2500 0.0000 (multiplicity 4)  4 Ag 2.62-2.69, 2 P 2.82, 2 Rh 2.82
P 0.0000 0.0000 0.5000 (multiplicity 2)  4 Rh 2.62-2.69, 4 Ag 2.82
Rh 0.0000 0.5000 0.5000 (multiplicity 2)  4 P 2.62-2.69, 4 Ag 2.82

---

# 9
VASP calculation (PBE) on crystalline CdInHgBr2 at its relaxed geometry.

- Crystal system: tetragonal
- Formation energy (no corrections): -298.9 meV per atom
- Magnetic moment: 0.00 μB/f.u.

abc: 5.7177 5.7177 5.5882
angles: 90.00 90.00 90.00
With the nearest neighbours (Å) after each atom.
Space group P4/mmm (No. 123)
Symmetry-distinct sites (fractional):
Cd 0.0000 0.0000 0.0000 (multiplicity 1)  2 Hg 2.79, 4 Br 2.86
In 0.5000 0.5000 0.5000 (multiplicity 1)  8 Br 4.00, 4 Hg 4.04
Hg 0.0000 0.0000 0.5000 (multiplicity 1)  2 Cd 2.79
Br 0.0000 0.5000 0.0000 (multiplicity 2)  2 Cd 2.86

---

Question: What is the magnetic moment in the eighth record?
Answer: 0.00 μB/f.u.

---

Repeat the first record exactly.
VASP calculation (PBE) on crystalline Pr3SiTe at its relaxed geometry.

- Crystal system: monoclinic
- Formation energy (no corrections): -770.2 meV per atom
- Magnetic moment: 0.29 μB/f.u.

abc: 15.4703 12.4268 7.4451
angles: 90.00 101.93 90.00
With the nearest neighbours (Å) after each atom.
Space group C2/c (No. 15)
Symmetry-distinct sites (fractional):
Pr 0.0994 0.0668 0.4422 (multiplicity 8)  1 Si 2.90, 1 Te 3.22
Pr 0.1029 0.2436 0.9635 (multiplicity 8)  2 Si 2.90-2.91, 1 Te 3.23
Pr 0.1086 0.4195 0.4598 (multiplicity 8)  3 Si 2.93-3.00
Si 0.0000 0.2454 0.2500 (multiplicity 4)  6 Pr 2.90-2.98
Si 0.0000 0.4120 0.7500 (multiplicity 4)  6 Pr 2.90-3.00
Te 0.2481 0.0971 0.8114 (multiplicity 8)  6 Pr 3.22-3.36

---

Question: Number 9 is which compound?
Answer: CdInHgBr2

---

Question: magnetic moment of number 2 (Ag2SnCl2)?
Answer: 0.00 μB/f.u.